# ErHfFe2O6

A relaxed structure of ErHfFe2O6 (PBE with a Hubbard U, the Alexandria database).

Summary:
DOS(E_F) (states/eV/atom): 0.00
Space group: P1 (1)
Final energy (eV/atom): -8.00
Calculated volume (Å³/cell): 120

The structure in POSCAR format:
```
ErHfFe2O6
1.0
5.376 0.000 0.000
-2.650 4.681 0.000
-0.010 -3.086 4.773
Er Hf Fe O
1 1 2 6
Direct
0.000 0.000 0.000 Er
0.504 0.012 0.520 Hf
0.214 0.427 0.635 Fe
0.712 0.428 0.141 Fe
0.100 0.538 0.341 O
0.334 0.246 0.830 O
0.433 0.231 0.332 O
0.591 0.931 0.833 O
0.792 0.894 0.331 O
0.902 0.492 0.831 O
```